A plane-wave DFT calculation with PBE was carried out for a geometry-optimized ZrCr2Os structure.

Calculated values
Its total energy is -9.70 eV per atom. As for the volume: 61 Å³ per cell. Its offset from the most stable computed form is 0.0 kJ per mole of atoms. Its energy of formation is 55 meV/atom.

Geometry as POSCAR:
```
ZrCr2Os
1.0
4.4148 -0.0050 0.0000
0.0025 4.4148 0.0000
-2.2087 -2.2049 3.1226
Cr Os Zr
2 1 1
direct
0.0000 0.0000 0.0000 Cr
0.2500 0.7500 0.5000 Cr
0.5000 0.5000 0.0000 Os
0.7500 0.2500 0.5000 Zr
```